# 1
The following is a DFT calculation (PBE) of a relaxed NiOsRu2 crystal.

Properties
E above lowest polymorph: 0.363 eV per atom
calculated formation energy: 1.8 eV per formula unit
energy: -8.444 eV/atom

a b c (Å): 4.495 4.495 2.728
angles (deg): 90.00 90.00 90.00
Sites, in units of the cell vectors:
1 Ni 0.000 0.000 0.000
2 Os 0.500 0.500 0.000
3 Ru 0.000 0.500 0.500
4 Ru 0.500 0.000 0.500

# 2
The following is a DFT calculation (PBE) of a relaxed LiInS2 crystal.

Properties
ΔE_f (raw): -280 kJ/mol of formula units
energy: -3.951 eV/atom

a b c (Å): 6.037 6.037 6.037
angles (deg): 107.10 107.10 114.32
Sites, in units of the cell vectors:
1 Li 0.250 0.250 0.000
2 Li 0.750 0.750 0.000
3 In 0.250 0.750 0.500
4 In 0.750 0.250 0.500
5 S 0.187 0.687 0.874
6 S 0.313 0.187 0.500
7 S 0.687 0.813 0.500
8 S 0.813 0.313 0.126